No. 1
DFT (GGA-PBE) results for a relaxed structure of HfGaCo.

Calculated values
**E_tot**: -6.788 eV per atom

Cell and atoms, written as POSCAR:
```
HfGaCo
1.0
7.4856 0.0000 0.0000
-3.7428 6.4827 0.0000
0.0000 0.0000 2.8928
Co Hf Ga
3 3 3
direct
0.0000 0.6237 0.5000
0.6237 0.0000 0.5000
0.3763 0.3763 0.5000
0.0000 0.2964 0.0000
0.7036 0.7036 0.0000
0.2964 0.0000 0.0000
0.0000 0.0000 0.5000
0.3333 0.6667 0.0000
0.6667 0.3333 0.0000
```

=====

No. 2
DFT (GGA-PBE) results for a relaxed structure of Ac2Pr3O.

Calculated values
**E_tot**: -5.242 eV per atom

Cell and atoms, written as POSCAR:
```
Ac2Pr3O
1.0
-1.9175 -1.9706 2.2962
2.9889 -1.6569 1.0740
2.0434 10.7995 10.9745
O Pr Ac
1 3 2
direct
0.0000 0.0000 0.0000
0.5000 0.5000 0.0000
0.5000 0.0000 0.5876
0.0000 0.5000 0.4124
0.5000 0.0000 0.2312
0.0000 0.5000 0.7688
```

=====

No. 3
DFT (GGA-PBE) results for a relaxed structure of Hf2ZrSi2Ni4Ge2.

Calculated values
**Excess energy over the best structure of this formula in the dataset**: 0.044 eV per atom

Cell and atoms, written as POSCAR:
```
Hf2ZrSi2Ni4Ge2
1.0
-1.9475 3.2275 6.4172
1.9475 -3.2275 6.4172
1.9475 3.2275 -6.4172
Ni Si Ge Hf Zr
4 2 2 2 1
direct
0.6286 0.8289 0.7997
0.3714 0.1711 0.2003
0.0292 0.8289 0.2003
0.9708 0.1711 0.7997
0.6916 0.0000 0.6916
0.3084 0.0000 0.3084
0.2150 0.7150 0.5000
0.7850 0.2850 0.5000
0.6254 0.6254 0.0000
0.3746 0.3746 0.0000
0.0000 0.5000 0.5000
```

=====

No. 4
DFT (GGA-PBE) results for a relaxed structure of NaScCdS3.

Calculated values
**Excess energy over the best structure of this formula in the dataset**: 0.058 eV per atom

Cell and atoms, written as POSCAR:
```
NaScCdS3
1.0
6.6303 -1.9296 0.0000
6.6303 1.9296 0.0000
0.0000 0.0000 10.3855
Na Cd S Sc
2 2 6 2
direct
0.2591 0.2591 0.7500
0.7409 0.7409 0.2500
0.5425 0.5425 0.7500
0.4575 0.4575 0.2500
0.3693 0.3693 0.0425
0.0805 0.0805 0.2500
0.6307 0.6307 0.5425
0.6307 0.6307 0.9575
0.3693 0.3693 0.4575
0.9195 0.9195 0.7500
0.0000 0.0000 0.0000
0.0000 0.0000 0.5000
```

=====

No. 5
DFT (GGA-PBE) results for a relaxed structure of AlCoGe.

Calculated values
**Excess energy over the best structure of this formula in the dataset**: 0.000 eV per atom

Cell and atoms, written as POSCAR:
```
AlCoGe
1.0
0.0000 2.8099 2.8099
2.8099 0.0000 2.8099
2.8099 2.8099 0.0000
Ge Al Co
1 1 1
direct
0.7500 0.7500 0.7500
0.2500 0.2500 0.2500
0.0000 0.0000 0.0000
```

=====

No. 6
DFT (GGA-PBE) results for a relaxed structure of Sc2ZnCoC.

Calculated values
**E_tot**: -6.478 eV per atom

Cell and atoms, written as POSCAR:
```
Sc2ZnCoC
1.0
4.5641 0.0000 0.0000
0.0000 4.5641 0.0000
0.0000 0.0000 3.6175
Sc Co C Zn
2 1 1 1
direct
0.0000 0.5000 0.0000
0.5000 0.0000 0.0000
0.0000 0.0000 0.5000
0.0000 0.0000 0.0000
0.5000 0.5000 0.5000
```

=====

No. 7
DFT (GGA-PBE) results for a relaxed structure of MgBeFeTe.

Calculated values
**Excess energy over the best structure of this formula in the dataset**: 0.000 eV per atom

Cell and atoms, written as POSCAR:
```
MgBeFeTe
1.0
0.0000 3.1213 3.1213
3.1213 0.0000 3.1213
3.1213 3.1213 0.0000
Be Te Fe Mg
1 1 1 1
direct
0.0000 0.0000 0.0000
0.5000 0.5000 0.5000
0.2500 0.2500 0.2500
0.7500 0.7500 0.7500
```

=====

No. 8
DFT (GGA-PBE) results for a relaxed structure of LaNd2Zn2Cu2Si4.

Calculated values
**Excess energy over the best structure of this formula in the dataset**: 0.023 eV per atom

Cell and atoms, written as POSCAR:
```
LaNd2Zn2Cu2Si4
1.0
-2.0834 2.0937 12.2749
2.0834 -2.0937 12.2749
2.0834 2.0937 -12.2749
Cu Nd Si La Zn
2 2 4 1 2
direct
0.5946 0.0946 0.5000
0.4054 0.9054 0.5000
0.8549 0.3549 0.5000
0.1451 0.6451 0.5000
0.4505 0.4505 0.0000
0.5495 0.5495 0.0000
0.3106 0.8106 0.5000
0.6894 0.1894 0.5000
0.0000 0.0000 0.0000
0.2500 0.2500 0.0000
0.7500 0.7500 0.0000
```

=====

No. 9
DFT (GGA-PBE) results for a relaxed structure of LaPrNO.

Calculated values
**Excess energy over the best structure of this formula in the dataset**: 0.413 eV per atom

Cell and atoms, written as POSCAR:
```
LaPrNO
1.0
3.0860 -3.0860 0.0000
3.0860 3.0860 0.0000
0.0000 0.0000 8.6267
La N O Pr
2 2 2 2
direct
0.0000 0.0000 0.8810
0.5000 0.5000 0.1190
0.5000 0.5000 0.6392
0.0000 0.0000 0.3608
0.5000 0.0000 0.0000
0.0000 0.5000 0.0000
0.0000 0.5000 0.5000
0.5000 0.0000 0.5000
```

=====

No. 10
DFT (GGA-PBE) results for a relaxed structure of Dy2TmLu3Bi2Os.

Calculated values
**E_tot**: -5.757 eV per atom

Cell and atoms, written as POSCAR:
```
Dy2TmLu3Bi2Os
1.0
4.2265 0.0000 0.0000
0.0000 7.0731 4.0831
0.0000 -7.0731 4.0831
Os Tm Bi Lu Dy
1 1 2 3 2
direct
0.0000 0.0043 0.0043
0.0000 0.3832 0.3832
0.5000 0.6650 0.3332
0.5000 0.3332 0.6650
0.5000 0.2313 0.9999
0.5000 0.7711 0.7711
0.5000 0.9999 0.2313
0.0000 0.6129 0.9992
0.0000 0.9992 0.6129
```

=====

No. 11
DFT (GGA-PBE) results for a relaxed structure of AcZrPd.

Calculated values
**ΔH_f (0 K)**: 0.02 eV per atom
**Excess energy over the best structure of this formula in the dataset**: 0.000 eV per atom

Cell and atoms, written as POSCAR:
```
AcZrPd
1.0
-0.0396 -4.6353 -1.8052
-3.1042 -3.3862 1.9088
-3.8834 -1.5974 -2.6671
Ac Pd Zr
1 1 1
direct
0.2500 0.2500 0.2500
0.0000 0.0000 0.0000
0.7500 0.7500 0.7500
```

=====

No. 12
DFT (GGA-PBE) results for a relaxed structure of Cd2In.

Calculated values
**E_tot**: -1.449 eV per atom

Cell and atoms, written as POSCAR:
```
Cd2In
1.0
5.2819 0.0000 0.0000
-2.6409 4.5743 0.0000
0.0000 0.0000 6.1815
Cd In
4 2
direct
0.6667 0.3333 0.2500
0.0000 0.0000 0.5000
0.0000 0.0000 0.0000
0.3333 0.6667 0.7500
0.3333 0.6667 0.2500
0.6667 0.3333 0.7500
```

=====

Number 1: volume 15.6 Å³ per atom. Number 2: volume 33.2 Å³ per atom. Number 3: volume 14.7 Å³ per atom. Number 4: volume 22.1 Å³ per atom. Number 5: volume 14.8 Å³ per atom. Number 6: volume 15.1 Å³ per atom. Number 7: volume 15.2 Å³ per atom. Number 8: volume 19.5 Å³ per atom. Number 9: volume 20.5 Å³ per atom. Number 10: volume 27.1 Å³ per atom. Number 11: volume 29.0 Å³ per atom. Number 12: volume 24.9 Å³ per atom.